[1]
TbYSeS | GGA-PBE | relaxed

a = 7.269 Å, b = 7.269 Å, c = 7.269 Å
α = 31.28°, β = 31.28°, γ = 31.28°
Positions (direct):
Tb 0.000 0.000 0.000
Y 0.185 0.185 0.185
Se 0.425 0.425 0.425
S 0.594 0.594 0.594

SG: R3m, No. 160
Formation energy without anion corrections, meV/atom: -1904

---

[2]
SrIr | GGA-PBE | relaxed

a = 8.544 Å, b = 8.544 Å, c = 8.544 Å
α = 29.52°, β = 29.52°, γ = 29.52°
Positions (direct):
Sr 0.081 0.081 0.081
Sr 0.919 0.919 0.919
Ir 0.333 0.333 0.333
Ir 0.667 0.667 0.667

SG: R-3m, No. 166
DFT formation energy, eV/atom: -0.27

---

[3]
Li2TbHo2Ge2 | GGA-PBE | relaxed

a = 9.303 Å, b = 9.303 Å, c = 9.303 Å
α = 27.65°, β = 27.65°, γ = 27.65°
Positions (direct):
Li 0.101 0.101 0.101
Li 0.899 0.899 0.899
Tb 0.500 0.500 0.500
Ho 0.373 0.373 0.373
Ho 0.627 0.627 0.627
Ge 0.236 0.236 0.236
Ge 0.764 0.764 0.764

SG: R-3m, No. 166
DFT formation energy, eV/atom: -0.48

---

[4]
PrErIn | GGA-PBE | relaxed

a = 7.784 Å, b = 5.628 Å, c = 4.734 Å
α = 90.00°, β = 90.00°, γ = 90.00°
Positions (direct):
Pr 0.250 0.000 0.003
Pr 0.750 0.000 0.997
Er 0.000 0.500 0.000
Er 0.500 0.500 0.000
In 0.250 0.500 0.500
In 0.750 0.500 0.500

E above lowest polymorph, meV/atom: 373
SG: Pmma, No. 51
DFT formation energy, eV/atom: 0.04

---

[5]
DyZr2Sc6 | GGA-PBE | relaxed

a = 3.307 Å, b = 3.307 Å, c = 23.851 Å
α = 90.00°, β = 90.00°, γ = 120.00°
Positions (direct):
Dy 0.000 0.000 0.000
Zr 0.333 0.667 0.332
Zr 0.333 0.667 0.668
Sc 0.000 0.000 0.225
Sc 0.000 0.000 0.436
Sc 0.000 0.000 0.564
Sc 0.000 0.000 0.775
Sc 0.333 0.667 0.116
Sc 0.333 0.667 0.884

SG: P-6m2, No. 187
DFT formation energy, eV/atom: 0.05

---

[6]
Pm2SmErTm6 | GGA-PBE | relaxed

a = 8.707 Å, b = 8.707 Å, c = 9.574 Å
α = 94.39°, β = 94.39°, γ = 118.10°
Positions (direct):
Pm 0.195 0.299 0.044
Pm 0.299 0.195 0.544
Pm 0.701 0.805 0.456
Pm 0.805 0.701 0.956
Sm 0.019 0.981 0.250
Sm 0.981 0.019 0.750
Er 0.408 0.592 0.750
Er 0.592 0.408 0.250
Tm 0.022 0.573 0.186
Tm 0.125 0.743 0.558
Tm 0.257 0.875 0.942
Tm 0.293 0.506 0.382
Tm 0.427 0.978 0.314
Tm 0.494 0.707 0.118
Tm 0.506 0.293 0.882
Tm 0.573 0.022 0.686
Tm 0.707 0.494 0.618
Tm 0.743 0.125 0.058
Tm 0.875 0.257 0.442
Tm 0.978 0.427 0.814

SG: C2/c, No. 15
DFT formation energy, eV/atom: 0.12

---

[7]
PmInHg | GGA-PBE | relaxed

a = 4.932 Å, b = 4.932 Å, c = 3.742 Å
α = 90.00°, β = 90.00°, γ = 120.00°
Positions (direct):
Pm 0.000 0.000 0.000
In 0.667 0.333 0.504
Hg 0.333 0.667 0.494

E above lowest polymorph, meV/atom: 13
SG: P3m1, No. 156
DFT formation energy, eV/atom: -0.46

---

[8]
NaGaCo | GGA-PBE | relaxed

a = 4.214 Å, b = 4.214 Å, c = 6.475 Å
α = 90.00°, β = 90.00°, γ = 90.00°
Positions (direct):
Na 0.250 0.250 0.164
Na 0.750 0.750 0.836
Ga 0.250 0.250 0.658
Ga 0.750 0.750 0.342
Co 0.250 0.750 0.500
Co 0.750 0.250 0.500

SG: P4/nmm, No. 129
DFT formation energy, eV/atom: 0.03

---

[9]
TlHg3 | GGA-PBE | relaxed

a = 6.399 Å, b = 10.686 Å, c = 6.626 Å
α = 90.00°, β = 90.00°, γ = 90.00°
Positions (direct):
Tl 0.041 0.250 0.107
Tl 0.459 0.750 0.607
Tl 0.541 0.250 0.393
Tl 0.959 0.750 0.893
Hg 0.053 0.250 0.607
Hg 0.240 0.506 0.355
Hg 0.240 0.994 0.355
Hg 0.260 0.006 0.855
Hg 0.260 0.494 0.855
Hg 0.447 0.750 0.107
Hg 0.553 0.250 0.893
Hg 0.740 0.506 0.145
Hg 0.740 0.994 0.145
Hg 0.760 0.006 0.645
Hg 0.760 0.494 0.645
Hg 0.947 0.750 0.393

SG: Pnma, No. 62
DFT formation energy, eV/atom: -0.02

---

[10]
RbPa2CuS8 | GGA-PBE | relaxed

a = 5.874 Å, b = 5.874 Å, c = 9.599 Å
α = 90.00°, β = 90.00°, γ = 120.00°
Positions (direct):
Rb 0.000 0.000 0.000
Pa 0.333 0.667 0.380
Pa 0.667 0.333 0.620
Cu 0.000 0.000 0.500
S 0.178 0.357 0.647
S 0.178 0.822 0.647
S 0.333 0.667 0.129
S 0.357 0.178 0.353
S 0.643 0.822 0.647
S 0.667 0.333 0.871
S 0.822 0.178 0.353
S 0.822 0.643 0.353

SG: P-3m1, No. 164
Formation energy without anion corrections, meV/atom: -907

---

[11]
Sc2TcIr | GGA-PBE | relaxed

a = 9.572 Å, b = 9.572 Å, c = 9.572 Å
α = 17.77°, β = 17.77°, γ = 17.77°
Positions (direct):
Sc 0.090 0.090 0.090
Sc 0.910 0.910 0.910
Tc 0.000 0.000 0.000
Ir 0.500 0.500 0.500

SG: R-3m, No. 166
DFT formation energy, eV/atom: 0.10

---

[12]
RuRhPb2 | GGA-PBE | relaxed

a = 4.759 Å, b = 4.759 Å, c = 4.759 Å
α = 60.00°, β = 60.00°, γ = 60.00°
Positions (direct):
Ru 0.000 0.000 0.000
Rh 0.500 0.500 0.500
Pb 0.250 0.250 0.250
Pb 0.750 0.750 0.750

E above lowest polymorph, meV/atom: 39
SG: Fm-3m, No. 225
DFT formation energy, eV/atom: 0.31

---

[13]
PuGeI | GGA-PBE | relaxed

a = 4.309 Å, b = 4.309 Å, c = 12.173 Å
α = 100.46°, β = 100.46°, γ = 59.95°
Positions (direct):
Pu 0.058 0.058 0.169
Pu 0.942 0.942 0.831
Ge 0.343 0.343 0.029
Ge 0.657 0.657 0.971
I 0.218 0.218 0.664
I 0.782 0.782 0.336

SG: C2/m, No. 12
Formation energy without anion corrections, meV/atom: -705

---

[14]
PmNdEuHg | GGA-PBE | relaxed

a = 5.603 Å, b = 5.603 Å, c = 5.603 Å
α = 60.00°, β = 60.00°, γ = 60.00°
Positions (direct):
Pm 0.000 0.000 0.000
Nd 0.750 0.750 0.750
Eu 0.250 0.250 0.250
Hg 0.500 0.500 0.500

SG: F-43m, No. 216
DFT formation energy, eV/atom: -0.02

---

[15]
Cr3Rh2 | GGA-PBE | relaxed

a = 6.705 Å, b = 4.983 Å, c = 7.684 Å
α = 59.46°, β = 39.80°, γ = 80.74°
Positions (direct):
Cr 0.000 0.000 0.000
Cr 0.250 0.250 0.250
Cr 0.440 0.737 0.358
Cr 0.737 0.440 0.464
Cr 0.786 0.892 0.513
Cr 0.892 0.786 0.810
Rh 0.196 0.521 0.903
Rh 0.347 0.870 0.054
Rh 0.521 0.196 0.380
Rh 0.870 0.347 0.729

E above lowest polymorph, meV/atom: 0
SG: Fdd2, No. 43
DFT formation energy, eV/atom: 0.07

---

[16]
YMg3Pd4 | GGA-PBE | relaxed

a = 9.351 Å, b = 6.479 Å, c = 4.677 Å
α = 90.00°, β = 90.00°, γ = 90.00°
Positions (direct):
Y 0.000 0.000 0.000
Y 0.500 0.000 0.000
Mg 0.000 0.500 0.000
Mg 0.250 0.000 0.499
Mg 0.250 0.500 0.498
Mg 0.500 0.500 0.000
Mg 0.750 0.000 0.501
Mg 0.750 0.500 0.502
Pd 0.000 0.266 0.500
Pd 0.000 0.734 0.500
Pd 0.250 0.266 0.998
Pd 0.250 0.734 0.998
Pd 0.500 0.266 0.500
Pd 0.500 0.734 0.500
Pd 0.750 0.266 0.002
Pd 0.750 0.734 0.002

SG: Pmma, No. 51
DFT formation energy, eV/atom: -0.76

---

[17]
MnP2PtCl | GGA-PBE | relaxed

a = 4.671 Å, b = 4.671 Å, c = 5.015 Å
α = 90.00°, β = 90.00°, γ = 90.00°
Positions (direct):
Mn 0.000 0.000 0.000
P 0.000 0.500 0.500
P 0.500 0.000 0.500
Pt 0.500 0.500 0.500
Cl 0.500 0.500 0.000

E above lowest polymorph, meV/atom: 25
SG: P4/mmm, No. 123
Formation energy without anion corrections, meV/atom: 656

---

no.,magnetic moment (Bohr magnetons per cell)
1,0.00
2,0.00
3,0.00
4,0.00
5,1.33
6,0.00
7,0.00
8,0.00
9,0.00
10,0.00
11,0.00
12,0.81
13,11.34
14,8.42
15,0.01
16,0.00
17,3.85